[1]
ScIn4P after structural relaxation. Source: Alexandria via LeMat-Bulk, functional PBE-GGA.

Lattice parameters (Å, degrees): 5.9146 5.9146 5.9146 60.00 60.00 60.00
Last column: nearest neighbours and their distance in Å.
Fractional positions:
In (0.3751, 0.3751, 0.3751)  6 In 2.95-2.96
In (0.8747, 0.3751, 0.3751)  6 In 2.95-2.96
In (0.3751, 0.8747, 0.3751)  6 In 2.95-2.96
In (0.3751, 0.3751, 0.8747)  6 In 2.95-2.96
P (0.7500, 0.7500, 0.7500)  12 In 3.47, 4 Sc 3.62
Sc (0.0000, 0.0000, 0.0000)  12 In 3.47, 4 P 3.62

Properties
size of the total moment: 0.00 μB/f.u.
formation enthalpy at 0 K: 272 meV per atom
total DFT energy (no corrections): -3.510 eV per atom

[2]
Sc2InP after structural relaxation. Source: Alexandria via LeMat-Bulk, functional PBE-GGA.

Lattice parameters (Å, degrees): 5.3145 5.3145 5.3145 138.58 119.59 75.89
Last column: nearest neighbours and their distance in Å.
Fractional positions:
In (0.5000, 0.0000, 0.5000)  8 Sc 3.05-3.22, 4 P 3.27
P (0.0000, 0.5000, 0.5000)  4 Sc 2.59
Sc (0.2134, 0.2134, 0.0000)  2 P 2.59
Sc (0.7866, 0.7866, 0.0000)  2 P 2.59

Properties
size of the total moment: 0.00 μB/f.u.
formation enthalpy at 0 K: -616 meV per atom
total DFT energy (no corrections): -5.819 eV per atom
energy relative to the lowest polymorph listed for this composition: 7.22 kcal/mol of atoms

[3]
InPSe3 after structural relaxation. Source: Alexandria via LeMat-Bulk, functional PBE-GGA.

Lattice parameters (Å, degrees): 5.2519 5.2519 5.2519 90.00 90.00 90.00
Last column: nearest neighbours and their distance in Å.
Fractional positions:
P (0.5000, 0.5000, 0.5000)  12 Se 3.71
Se (0.0000, 0.0000, 0.5000)  2 In 2.63
Se (0.5000, 0.0000, 0.0000)  2 In 2.63
Se (0.0000, 0.5000, 0.0000)  2 In 2.63
In (0.0000, 0.0000, 0.0000)  6 Se 2.63

Properties
size of the total moment: 0.74 μB/f.u.
total DFT energy (no corrections): -2.812 eV per atom
raw formation energy: 87.68 kJ/mol of atoms

[4]
InP2Se after structural relaxation. Source: Alexandria via LeMat-Bulk, functional PBE-GGA.

Lattice parameters (Å, degrees): 6.6693 6.6693 6.6693 147.63 147.63 46.44
Last column: nearest neighbours and their distance in Å.
Fractional positions:
P (0.0000, 0.0000, 0.0000)  4 Se 2.63
P (0.2500, 0.7500, 0.5000)  4 In 2.63
In (0.7500, 0.2500, 0.5000)  4 P 2.63
Se (0.5000, 0.5000, 0.0000)  4 P 2.63

Properties
size of the total moment: 0.00 μB/f.u.
total DFT energy (no corrections): -3.768 eV per atom
energy relative to the lowest polymorph listed for this composition: 10.77 kcal/mol of atoms
raw formation energy: 47.51 kJ/mol of atoms

[5]
InP2Se after structural relaxation. Source: Alexandria via LeMat-Bulk, functional PBE-GGA.

Lattice parameters (Å, degrees): 7.2779 3.6630 3.6630 90.00 90.00 90.00
Last column: nearest neighbours and their distance in Å.
Fractional positions:
P (0.0000, 0.0000, 0.0000)  4 P 2.59
P (0.0000, 0.5000, 0.5000)  4 P 2.59
In (0.5000, 0.0000, 0.5000)  4 Se 2.59
Se (0.5000, 0.5000, 0.0000)  4 In 2.59

Properties
size of the total moment: 0.00 μB/f.u.
total DFT energy (no corrections): -3.815 eV per atom
energy relative to the lowest polymorph listed for this composition: 9.70 kcal/mol of atoms
raw formation energy: 43.03 kJ/mol of atoms

[6]
InP2Se after structural relaxation. Source: Alexandria via LeMat-Bulk, functional PBE-GGA.

Lattice parameters (Å, degrees): 4.7525 4.7525 4.7525 60.00 60.00 60.00
Last column: nearest neighbours and their distance in Å.
Fractional positions:
In (0.5000, 0.5000, 0.5000)  8 P 2.91
P (0.2500, 0.2500, 0.2500)  4 In 2.91, 4 Se 2.91
P (0.7500, 0.7500, 0.7500)  4 In 2.91, 4 Se 2.91
Se (0.0000, 0.0000, 0.0000)  8 P 2.91

Properties
size of the total moment: 0.00 μB/f.u.
total DFT energy (no corrections): -3.642 eV per atom
energy relative to the lowest polymorph listed for this composition: 13.69 kcal/mol of atoms
raw formation energy: 59.73 kJ/mol of atoms

[7]
InP2Se after structural relaxation. Source: Alexandria via LeMat-Bulk, functional PBE-GGA.

Lattice parameters (Å, degrees): 3.0800 3.0800 9.3023 90.00 90.00 90.00
Last column: nearest neighbours and their distance in Å.
Fractional positions:
Se (0.0000, 0.0000, 0.5110)  4 Se 3.08, 4 In 3.19
P (0.5000, 0.5000, 0.1642)  4 P 2.37
P (0.0000, 0.0000, 0.0629)  4 P 2.37
In (0.5000, 0.5000, 0.7619)  4 In 3.08, 4 Se 3.19

Properties
size of the total moment: 0.00 μB/f.u.
total DFT energy (no corrections): -3.996 eV per atom
energy relative to the lowest polymorph listed for this composition: 5.53 kcal/mol of atoms
raw formation energy: 25.58 kJ/mol of atoms

[8]
InPSe4 after structural relaxation. Source: Alexandria via LeMat-Bulk, functional PBE-GGA.

Lattice parameters (Å, degrees): 5.7474 5.7474 5.7474 60.00 60.00 60.00
Last column: nearest neighbours and their distance in Å.
Fractional positions:
Se (0.3733, 0.3733, 0.3733)  6 Se 2.83-2.91
Se (0.8801, 0.3733, 0.3733)  6 Se 2.83-2.91
Se (0.3733, 0.8801, 0.3733)  6 Se 2.83-2.91
Se (0.3733, 0.3733, 0.8801)  6 Se 2.83-2.91
In (0.7500, 0.7500, 0.7500)  12 Se 3.37, 4 P 3.52
P (0.0000, 0.0000, 0.0000)  12 Se 3.37, 4 In 3.52

Properties
size of the total moment: 0.00 μB/f.u.
total DFT energy (no corrections): -2.987 eV per atom
raw formation energy: 66.96 kJ/mol of atoms

[9]
InP2Se after structural relaxation. Source: Alexandria via LeMat-Bulk, functional PBE-GGA.

Lattice parameters (Å, degrees): 4.7534 4.7534 4.7534 60.00 60.00 60.00
Last column: nearest neighbours and their distance in Å.
Fractional positions:
P (0.0000, 0.0000, 0.0000)  4 Se 2.91, 4 P 2.91
P (0.7500, 0.7500, 0.7500)  4 In 2.91, 4 P 2.91
In (0.5000, 0.5000, 0.5000)  4 Se 2.91, 4 P 2.91
Se (0.2500, 0.2500, 0.2500)  4 In 2.91, 4 P 2.91

Properties
size of the total moment: 0.00 μB/f.u.
total DFT energy (no corrections): -3.694 eV per atom
energy relative to the lowest polymorph listed for this composition: 12.48 kcal/mol of atoms
raw formation energy: 54.63 kJ/mol of atoms

[10]
In4PSe after structural relaxation. Source: Alexandria via LeMat-Bulk, functional PBE-GGA.

Lattice parameters (Å, degrees): 6.1018 6.1018 6.1018 60.00 60.00 60.00
Last column: nearest neighbours and their distance in Å.
Fractional positions:
Se (0.0000, 0.0000, 0.0000)  12 In 3.58, 4 P 3.74
In (0.3751, 0.3751, 0.3751)  6 In 3.05
In (0.3751, 0.8746, 0.3751)  6 In 3.05
In (0.3751, 0.3751, 0.8746)  6 In 3.05
In (0.8746, 0.3751, 0.3751)  6 In 3.05
P (0.7500, 0.7500, 0.7500)  12 In 3.58, 4 Se 3.74

Properties
size of the total moment: 1.23 μB/f.u.
total DFT energy (no corrections): -2.862 eV per atom
raw formation energy: 43.03 kJ/mol of atoms

[11]
InP2Se after structural relaxation. Source: Alexandria via LeMat-Bulk, functional PBE-GGA.

Lattice parameters (Å, degrees): 5.3582 5.3582 5.3582 142.60 119.49 73.34
Last column: nearest neighbours and their distance in Å.
Fractional positions:
P (0.5257, 0.5257, 0.0000)  2 Se 2.58
P (0.9743, 0.9743, 0.0000)  2 Se 2.58
In (0.2500, 0.7500, 0.5000)  4 P 2.93, 4 Se 3.20
Se (0.7500, 0.2500, 0.5000)  4 P 2.58

Properties
size of the total moment: 0.00 μB/f.u.
total DFT energy (no corrections): -3.756 eV per atom
energy relative to the lowest polymorph listed for this composition: 11.05 kcal/mol of atoms
raw formation energy: 48.68 kJ/mol of atoms

[12]
InP2Se after structural relaxation. Source: Alexandria via LeMat-Bulk, functional PBE-GGA.

Lattice parameters (Å, degrees): 7.2200 7.2200 7.2200 30.10 30.10 30.10
Last column: nearest neighbours and their distance in Å.
Fractional positions:
Se (0.4961, 0.4961, 0.4961)  3 In 2.69
P (0.9865, 0.9865, 0.9865)  3 P 2.44
P (0.2655, 0.2655, 0.2655)  3 P 2.44
In (0.7518, 0.7518, 0.7518)  3 Se 2.69, 3 P 2.97

Properties
size of the total moment: 0.00 μB/f.u.
total DFT energy (no corrections): -4.229 eV per atom
energy relative to the lowest polymorph listed for this composition: 0.16 kcal/mol of atoms
raw formation energy: 3.09 kJ/mol of atoms

[13]
InP3Se after structural relaxation. Source: Alexandria via LeMat-Bulk, functional PBE-GGA.

Lattice parameters (Å, degrees): 4.8229 4.8229 4.8229 90.00 90.00 90.00
Last column: nearest neighbours and their distance in Å.
Fractional positions:
In (0.5000, 0.5000, 0.5000)  12 P 3.41
Se (0.0000, 0.0000, 0.0000)  6 P 2.41
P (0.0000, 0.5000, 0.0000)  2 Se 2.41
P (0.5000, 0.0000, 0.0000)  2 Se 2.41
P (0.0000, 0.0000, 0.5000)  2 Se 2.41

Properties
size of the total moment: 0.00 μB/f.u.
total DFT energy (no corrections): -3.567 eV per atom
energy relative to the lowest polymorph listed for this composition: 0.00 kcal/mol of atoms
raw formation energy: 89.14 kJ/mol of atoms

[14]
InP2Se after structural relaxation. Source: Alexandria via LeMat-Bulk, functional PBE-GGA.

Lattice parameters (Å, degrees): 3.8593 3.8593 7.2802 90.00 90.00 123.31
Last column: nearest neighbours and their distance in Å.
Fractional positions:
P (0.0000, 0.0000, 0.0138)  2 Se 2.51, 2 In 2.65
P (0.0000, 0.0000, 0.4862)  2 Se 2.51, 2 In 2.65
Se (0.5000, 0.5000, 0.2500)  4 P 2.51
In (0.5000, 0.5000, 0.7500)  4 P 2.65

Properties
size of the total moment: 0.00 μB/f.u.
total DFT energy (no corrections): -3.732 eV per atom
energy relative to the lowest polymorph listed for this composition: 11.61 kcal/mol of atoms
raw formation energy: 50.99 kJ/mol of atoms

[15]
InP2Se after structural relaxation. Source: Alexandria via LeMat-Bulk, functional PBE-GGA.

Lattice parameters (Å, degrees): 7.7817 7.7817 7.7817 152.75 152.75 38.92
Last column: nearest neighbours and their distance in Å.
Fractional positions:
P (0.5000, 0.5000, 0.0000)  4 P 2.59
P (0.0000, 0.0000, 0.0000)  4 P 2.59
In (0.7500, 0.2500, 0.5000)  4 Se 2.59
Se (0.2500, 0.7500, 0.5000)  4 In 2.59

Properties
size of the total moment: 0.00 μB/f.u.
total DFT energy (no corrections): -3.817 eV per atom
energy relative to the lowest polymorph listed for this composition: 9.65 kcal/mol of atoms
raw formation energy: 42.82 kJ/mol of atoms

[16]
InP2Se after structural relaxation. Source: Alexandria via LeMat-Bulk, functional PBE-GGA.

Lattice parameters (Å, degrees): 4.3373 4.3447 5.3652 90.00 90.00 90.00
Last column: nearest neighbours and their distance in Å.
Fractional positions:
In (0.5000, 0.5000, 0.7500)  2 Se 2.68
P (0.0000, 0.0000, 0.5631)  1 P 2.01
P (0.0000, 0.0000, 0.9369)  1 P 2.01
Se (0.5000, 0.5000, 0.2500)  2 In 2.68

Properties
size of the total moment: 0.00 μB/f.u.
total DFT energy (no corrections): -3.856 eV per atom
energy relative to the lowest polymorph listed for this composition: 8.76 kcal/mol of atoms
raw formation energy: 39.07 kJ/mol of atoms

[17]
InP2Se after structural relaxation. Source: Alexandria via LeMat-Bulk, functional PBE-GGA.

Lattice parameters (Å, degrees): 3.9000 3.9001 5.5275 90.00 90.00 90.00
Last column: nearest neighbours and their distance in Å.
Fractional positions:
In (0.5000, 0.5000, 0.6619)  2 P 2.61-2.92, 4 Se 2.81
Se (0.0000, 0.0000, 0.5621)  1 P 2.32
P (0.0000, 0.0000, 0.1425)  1 Se 2.32
P (0.5000, 0.5000, 0.1336)  2 In 2.61-2.92, 4 P 2.76

Properties
size of the total moment: 0.00 μB/f.u.
total DFT energy (no corrections): -4.140 eV per atom
energy relative to the lowest polymorph listed for this composition: 2.19 kcal/mol of atoms
raw formation energy: 11.62 kJ/mol of atoms

[18]
InP4Se after structural relaxation. Source: Alexandria via LeMat-Bulk, functional PBE-GGA.

Lattice parameters (Å, degrees): 5.9675 5.9675 5.9675 60.00 60.00 60.00
Last column: nearest neighbours and their distance in Å.
Fractional positions:
P (0.7779, 0.4074, 0.4074)  3 P 2.21
P (0.4074, 0.7779, 0.4074)  3 P 2.21
P (0.4074, 0.4074, 0.7779)  3 P 2.21
P (0.4074, 0.4074, 0.4074)  3 P 2.21
In (0.0000, 0.0000, 0.0000)  12 P 3.61, 4 Se 3.65
Se (0.7500, 0.7500, 0.7500)  12 P 3.45, 4 In 3.65

Properties
size of the total moment: 1.05 μB/f.u.
total DFT energy (no corrections): -4.333 eV per atom
raw formation energy: 29.95 kJ/mol of atoms

[19]
In2P3Se9 after structural relaxation. Source: Alexandria via LeMat-Bulk, functional PBE-GGA.

Lattice parameters (Å, degrees): 6.4885 8.2521 15.3703 91.72 101.67 90.88
Last column: nearest neighbours and their distance in Å.
Fractional positions:
Se (0.7598, 0.5687, 0.8360)  1 P 2.20
Se (0.1901, 0.4563, 0.7177)  1 P 2.18
Se (0.6371, 0.3570, 0.6155)  1 P 2.19
Se (0.9683, 0.0264, 0.2771)  1 P 2.19
Se (0.4219, 0.9211, 0.1742)  1 P 2.18
Se (0.0317, 0.9736, 0.7229)  1 P 2.19
Se (0.9078, 0.7616, 0.4965)  1 P 2.26
Se (0.1306, 0.2049, 0.9427)  1 P 2.20
Se (0.2970, 0.6870, 0.9455)  1 P 2.25
Se (0.2402, 0.4313, 0.1640)  1 P 2.20
Se (0.0922, 0.2384, 0.5035)  1 P 2.26
Se (0.5781, 0.0789, 0.8258)  1 P 2.18
Se (0.5365, 0.1293, 0.3922)  1 P 2.26
Se (0.7030, 0.3130, 0.0545)  1 P 2.25
Se (0.4635, 0.8707, 0.6078)  1 P 2.26
Se (0.8694, 0.7951, 0.0573)  1 P 2.20
Se (0.8099, 0.5437, 0.2823)  1 P 2.18
Se (0.3629, 0.6430, 0.3845)  1 P 2.19
In (0.7838, 0.0668, 0.5685)  6 Se 2.72-2.92
In (0.2162, 0.9332, 0.4315)  6 Se 2.72-2.92
In (0.4417, 0.3786, 0.8819)  6 Se 2.79-2.93
In (0.5583, 0.6214, 0.1181)  6 Se 2.79-2.93
P (0.6783, 0.7143, 0.3664)  3 Se 2.18-2.26, 1 P 2.28
P (0.0278, 0.3806, 0.0348)  3 Se 2.20-2.25, 1 P 2.27
P (0.9722, 0.6194, 0.9652)  3 Se 2.20-2.25, 1 P 2.27
P (0.3455, 0.0440, 0.7024)  3 Se 2.18-2.26, 1 P 2.28
P (0.3217, 0.2857, 0.6336)  3 Se 2.18-2.26, 1 P 2.28
P (0.6545, 0.9560, 0.2976)  3 Se 2.18-2.26, 1 P 2.28

Properties
size of the total moment: 0.00 μB/f.u.
total DFT energy (no corrections): -4.040 eV per atom
raw formation energy: -24.11 kJ/mol of atoms

[20]
InP2Se after structural relaxation. Source: Alexandria via LeMat-Bulk, functional PBE-GGA.

Lattice parameters (Å, degrees): 4.8044 4.8044 3.3052 90.00 90.00 90.20
Last column: nearest neighbours and their distance in Å.
Fractional positions:
In (0.0000, 0.5000, 0.5000)  8 P 2.92
Se (0.5000, 0.0000, 0.5000)  8 P 2.92
P (0.5000, 0.5000, 0.0000)  4 Se 2.92, 4 In 2.92
P (0.0000, 0.0000, 0.0000)  4 In 2.92, 4 Se 2.92

Properties
size of the total moment: 0.00 μB/f.u.
total DFT energy (no corrections): -3.698 eV per atom
energy relative to the lowest polymorph listed for this composition: 12.38 kcal/mol of atoms
raw formation energy: 54.25 kJ/mol of atoms